Density functional theory data (PBE) for crystalline La2Cd4FePd at its relaxed geometry.

Values from the calculation:
The value obtained for the formation energy is -0.330 eV per atom.

a = 8.4367 Å, b = 5.4614 Å, c = 5.4614 Å
α = 46.40°, β = 90.00°, γ = 90.00°
With the nearest neighbours (Å) after each atom.
Fractional coordinates of all 8 atoms:
Cd (0.8040, 0.1471, 0.1471)  2 Fe 2.80, 1 Pd 2.88, 3 Cd 3.06-3.10
Cd (0.2942, 0.8538, 0.8538)  1 Fe 2.85, 2 Pd 2.87, 3 Cd 3.06-3.10
Cd (0.1960, 0.1471, 0.1471)  2 Fe 2.80, 1 Pd 2.88, 3 Cd 3.06-3.10
Cd (0.7058, 0.8538, 0.8538)  1 Fe 2.85, 2 Pd 2.87, 3 Cd 3.06-3.10
Fe (0.0000, 0.7140, 0.7140)  1 La 2.74, 6 Cd 2.80-2.85
La (0.0000, 0.4415, 0.4415)  1 Fe 2.74
La (0.5000, 0.5637, 0.5637)  3 Pd 2.86-3.05
Pd (0.5000, 0.2788, 0.2788)  3 La 2.86-3.05, 6 Cd 2.87-2.88